Entry 1:
Cs2NaICl | the Alexandria database | PBE | optimized geometry; SG = P4/mmm; electronic total energy = -2.4712 eV/atom
1.0
-1.687 -4.933 4.624
6.215 0.746 3.063
-2.095 3.829 3.320
Cl Cs I Na
1 2 1 1
Cartesian
0.000 0.000 0.000
-0.843 -2.466 2.312
3.108 0.373 1.531
1.216 -0.179 5.503
-1.048 1.914 1.660

=====

Entry 2:
Zr3Zn2Cd3 | the Alexandria database | PBE | optimized geometry; SG = P-62m; electronic total energy = -4.0019 eV/atom
1.0
-2.748 1.522 1.487
0.990 -4.103 6.027
3.312 6.545 -0.580
Zr Zn Cd
3 2 3
Cartesian
-0.789 -1.665 4.307
0.584 4.631 0.401
0.384 1.759 2.971
2.538 2.996 1.623
1.764 -0.554 3.825
0.235 -0.976 1.433
3.279 1.862 4.153
0.787 1.556 -0.138

=====

Entry 3:
NbZnCu3 | the Alexandria database | PBE | optimized geometry; polymorph energy (0 for the lowest one) = 0 meV/atom; SG = Pm-3m; electronic total energy = -3.8914 eV/atom
1.0
4.326 0.000 0.000
0.000 4.326 0.000
0.000 0.000 4.326
Zn Cu Nb
1 3 1
Cartesian
0.000 0.000 0.000
2.163 0.000 0.000
0.000 0.000 2.163
0.000 2.163 0.000
2.163 2.163 2.163